Compound: SnTe2AuO
Source: Alexandria
Functional: PBE-GGA
Structure: optimized geometry

Results
The symmetry is P4/mmm, No. 123. The total magnetization is 0.0 μB/f.u. The value obtained for the calculated total energy is -3.61 eV/atom. As for the uncorrected formation energy: 99 meV/atom.

Cell: 5.7959 5.7959 3.8763 Å, 90.00 90.00 90.00°
Closest atoms and distances in Å follow each position.
Atoms (fractional coordinates):
Sn 0.0000 0.0000 0.0000  2 O 1.94
Te 0.0000 0.5000 0.0000  2 Sn 2.90
Te 0.5000 0.0000 0.0000  2 Sn 2.90
Au 0.5000 0.5000 0.5000  8 Te 3.49, 2 Au 3.88
O 0.0000 0.0000 0.5000  2 Sn 1.94